# Li4P2PtAu, optimized geometry, DFT PBE-GGA
data_Li4P2PtAu
_symmetry_space_group_name_H-M 'P -4 m 2'
_symmetry_Int_Tables_number 115
_cell_length_a 4.211
_cell_length_b 4.211
_cell_length_c 5.972
_cell_angle_alpha 90.00
_cell_angle_beta 90.00
_cell_angle_gamma 90.00
loop_
_symmetry_equiv_pos_as_xyz
'x,y,z'
'y,-x,-z'
'-x,-y,z'
'-y,x,-z'
'-x,y,z'
'-y,-x,-z'
'x,-y,z'
'y,x,-z'
loop_
_atom_site_label
_atom_site_type_symbol
_atom_site_fract_x
_atom_site_fract_y
_atom_site_fract_z
Li1 Li 0.000 0.000 0.000
Li2 Li 0.000 0.500 0.245
Li3 Li 0.500 0.500 0.500
P1 P 0.000 0.500 0.767
Pt1 Pt 0.500 0.500 0.000
Au1 Au 0.000 0.000 0.500
# - Final energy: -4.0622 eV/atom

# Li4SnPAu2, optimized geometry, DFT PBE-GGA
data_Li4SnPAu2
_symmetry_space_group_name_H-M 'P -4 m 2'
_symmetry_Int_Tables_number 115
_cell_length_a 4.338
_cell_length_b 4.338
_cell_length_c 6.651
_cell_angle_alpha 90.00
_cell_angle_beta 90.00
_cell_angle_gamma 90.00
loop_
_symmetry_equiv_pos_as_xyz
'x,y,z'
'y,-x,-z'
'-x,-y,z'
'-y,x,-z'
'-x,y,z'
'-y,-x,-z'
'x,-y,z'
'y,x,-z'
loop_
_atom_site_label
_atom_site_type_symbol
_atom_site_fract_x
_atom_site_fract_y
_atom_site_fract_z
Li1 Li 0.000 0.000 0.000
Li2 Li 0.000 0.500 0.714
Li3 Li 0.500 0.500 0.500
Sn1 Sn 0.500 0.500 0.000
P1 P 0.000 0.000 0.500
Au1 Au 0.000 0.500 0.264
# - Final energy: -3.4603 eV/atom